1.
Crystalline Cs12Rb4Au at its relaxed geometry. Source: Alexandria via LeMat-Bulk, functional PBE.

Cell and atoms, written as POSCAR:
```
Cs12Rb4Au
1.0
-8.9940 8.9940 8.9940
8.9940 -8.9940 8.9940
8.9940 8.9940 -8.9940
Cs Rb Au
12 4 1
direct
0.0000 0.3452 0.6548
0.0000 0.6548 0.3452
0.3097 0.6548 0.6548
0.3452 0.0000 0.6548
0.3452 0.3452 0.6903
0.3452 0.6548 0.0000
0.3452 0.6903 0.3452
0.6548 0.0000 0.3452
0.6548 0.3097 0.6548
0.6548 0.3452 0.0000
0.6548 0.6548 0.3097
0.6903 0.3452 0.3452
0.0000 0.0000 0.5000
0.0000 0.5000 0.0000
0.5000 0.0000 0.0000
0.5000 0.5000 0.5000
0.0000 0.0000 0.0000
```

**DOS at the Fermi energy**: 21.398 states/eV/cell
**V**: 171.19 A^3/atom
**Energy relative to the elements**: 0.25 eV/atom
**Crystal system**: cubic
**Total moment**: 0.0124 μB/atom
**Symmetry**: No. 229
**ρ**: 1.22 g cm⁻³

=====

2.
Crystalline LaCu3Ni2 at its relaxed geometry. Source: Alexandria via LeMat-Bulk, functional PBE.

Cell and atoms, written as POSCAR:
```
LaCu3Ni2
1.0
2.9258 1.6892 6.2641
-2.9258 1.6892 6.2641
0.0000 -3.3784 6.2641
La Cu Ni
2 6 4
direct
0.2266 0.2266 0.2266
0.7734 0.7734 0.7734
0.2742 0.7079 0.7079
0.2921 0.2921 0.7258
0.2921 0.7258 0.2921
0.7079 0.2742 0.7079
0.7079 0.7079 0.2742
0.7258 0.2921 0.2921
0.0000 0.0000 0.0000
0.0000 0.5000 0.5000
0.5000 0.0000 0.5000
0.5000 0.5000 0.0000
```

**DOS at the Fermi energy**: 8.316 states/eV/cell
**V**: 15.48 A^3/atom
**Energy relative to the elements**: 0.11 eV/atom
**Crystal system**: trigonal
**Total moment**: 0.0001 μB/atom
**Symmetry**: No. 166
**ρ**: 7.99 g cm⁻³